Record 1
Material: ZrNiSbPd
Method: DFT, PBE
State: optimized geometry

a = 6.5282 Å, b = 6.5282 Å, c = 6.5282 Å
α = 90.00°, β = 90.00°, γ = 90.00°
Last column: nearest neighbours and their distance in Å.
Space group F-43m (No. 216)
Asymmetric unit:
Zr 0.0000 0.0000 0.0000 x4  4 Pd 2.83, 4 Ni 2.83
Ni 0.2500 0.2500 0.7500 x4  4 Zr 2.83, 4 Sb 2.83
Sb 0.0000 0.0000 0.5000 x4  4 Ni 2.83, 4 Pd 2.83
Pd 0.2500 0.2500 0.2500 x4  4 Sb 2.83, 4 Zr 2.83

Results
The raw formation energy comes out at -0.4691 eV/atom.

Record 2
Material: Sc2NiPd3
Method: DFT, PBE
State: optimized geometry

a = 8.2504 Å, b = 9.9426 Å, c = 5.4612 Å
α = 90.00°, β = 90.00°, γ = 90.00°
Last column: nearest neighbours and their distance in Å.
Space group Ibam (No. 72)
Asymmetric unit:
Sc 0.2339 0.1293 0.0000 x8  1 Ni 2.54, 6 Pd 2.69-2.78
Ni 0.0000 0.5000 0.0000 x4  2 Sc 2.54, 4 Pd 2.61, 2 Ni 2.73
Pd 0.0000 0.0000 0.2500 x4  4 Sc 2.69, 4 Pd 2.73-2.74
Pd 0.0000 0.2761 0.2500 x8  2 Ni 2.61, 3 Pd 2.73-2.74, 4 Sc 2.75-2.78

Results
The energy above the most stable polymorph in this dataset comes out at 0 meV per atom. Its formation energy is -43 kJ/mol of atoms.

Record 3
Material: ScNiPd
Method: DFT, PBE
State: optimized geometry

a = 8.3402 Å, b = 4.0859 Å, c = 5.5228 Å
α = 90.00°, β = 101.22°, γ = 90.00°
Last column: nearest neighbours and their distance in Å.
Space group C2/m (No. 12)
Asymmetric unit:
Sc 0.1568 0.0000 0.2870 x4  5 Ni 2.63-2.87, 5 Pd 2.75-2.88
Ni 0.1681 0.0000 0.8100 x4  5 Sc 2.63-2.87, 5 Pd 2.76-2.85
Pd 0.0000 0.5000 0.0000 x2  4 Sc 2.75, 2 Pd 2.76, 6 Ni 2.76-2.80
Pd 0.0000 0.5000 0.5000 x2  2 Pd 2.76, 6 Sc 2.80-2.88, 4 Ni 2.85

Results
Its formation energy is -60 kJ/mol of atoms.

Record 4
Material: ScNiPd
Method: DFT, PBE
State: optimized geometry

a = 3.2617 Å, b = 3.2617 Å, c = 8.8173 Å
α = 90.00°, β = 90.00°, γ = 90.00°
Last column: nearest neighbours and their distance in Å.
Space group I4mm (No. 107)
Asymmetric unit:
Sc 0.0000 0.0000 0.0000 x2  4 Ni 2.69, 5 Pd 2.78-2.86
Ni 0.0000 0.0000 0.3426 x2  4 Sc 2.69, 5 Pd 2.73-2.94
Pd 0.0000 0.0000 0.6759 x2  5 Ni 2.73-2.94, 5 Sc 2.78-2.86

Results
Its formation energy is -50 kJ/mol of atoms.

Record 5
Material: Sc3NiPd2
Method: DFT, PBE
State: optimized geometry

a = 4.6297 Å, b = 4.6297 Å, c = 11.3354 Å
α = 90.00°, β = 90.00°, γ = 120.00°
Last column: nearest neighbours and their distance in Å.
Space group P-3m1 (No. 164)
Asymmetric unit:
Sc 0.0000 0.0000 0.2447 x2  5 Pd 2.77-2.89, 3 Ni 2.81
Sc 0.3333 0.6667 0.4115 x2  1 Ni 2.77, 7 Pd 2.82-2.91
Sc 0.3333 0.6667 0.9176 x2  4 Pd 2.82-2.83, 4 Ni 2.83-2.84
Ni 0.3333 0.6667 0.1669 x2  8 Sc 2.77-2.84
Pd 0.0000 0.0000 0.0000 x1  8 Sc 2.77-2.83
Pd 0.0000 0.0000 0.5000 x1  8 Sc 2.85-2.89
Pd 0.3333 0.6667 0.6685 x2  8 Sc 2.82-2.91

Results
Its formation energy is -73 kJ/mol of atoms.

Record 6
Material: ScNi4Pd
Method: DFT, PBE
State: optimized geometry

a = 6.7858 Å, b = 6.7858 Å, c = 6.7858 Å
α = 90.00°, β = 90.00°, γ = 90.00°
Last column: nearest neighbours and their distance in Å.
Space group F-43m (No. 216)
Asymmetric unit:
Sc 0.0000 0.0000 0.0000 x4  12 Ni 2.81, 4 Pd 2.94
Ni 0.1247 0.1247 0.3753 x16  6 Ni 2.39-2.40
Pd 0.2500 0.2500 0.7500 x4  12 Ni 2.81, 4 Sc 2.94

Results
Its formation energy is -37 kJ/mol of atoms.

no.,magnetic moment (μB/atom)
1,0.000
2,0.000
3,0.000
4,0.000
5,0.000
6,0.175